(1)
TaReN2F | PBE-GGA | relaxed

Cell and atoms, written as POSCAR:
```
TaReN2F
1.0
4.109 0.000 0.000
0.000 4.109 0.000
0.000 0.000 3.977
Ta Re N F
1 1 2 1
Direct
0.000 0.000 0.000
0.500 0.500 0.500
0.000 0.500 0.000
0.500 0.000 0.000
0.000 0.000 0.500
```

Summary:
ρ = 10.24 g/cm³
DOS at the Fermi energy = 0.4150 states/eV per atom
Raw total energy = -8.179 eV/atom
Size of the total moment = 4.4 μB per formula unit
Offset from the most stable computed form = 0.000 eV per atom

(2)
DyScPd2 | PBE-GGA | relaxed

Cell and atoms, written as POSCAR:
```
DyScPd2
1.0
3.346 0.000 0.000
0.000 3.346 0.000
0.000 0.000 7.073
Dy Sc Pd
1 1 2
Direct
0.000 0.000 0.000
0.000 0.000 0.500
0.500 0.500 0.273
0.500 0.500 0.727
```

Summary:
ρ = 8.81 g/cm³
DOS at the Fermi energy = 0.6807 states/eV per atom
Raw total energy = -6.204 eV/atom
Size of the total moment = 0.0 μB per formula unit
Offset from the most stable computed form = 0.030 eV per atom

(3)
K4DyNb3O12 | PBE-GGA | relaxed

Cell and atoms, written as POSCAR:
```
K4DyNb3O12
1.0
-4.170 4.170 4.170
4.170 -4.170 4.170
4.170 4.170 -4.170
K Dy Nb O
4 1 3 12
Direct
0.000 0.000 0.500
0.000 0.500 0.000
0.500 0.000 0.000
0.500 0.500 0.500
0.000 0.000 0.000
0.000 0.500 0.500
0.500 0.000 0.500
0.500 0.500 0.000
0.000 0.267 0.267
0.000 0.733 0.733
0.250 0.500 0.750
0.250 0.750 0.500
0.267 0.000 0.267
0.267 0.267 0.000
0.500 0.250 0.750
0.500 0.750 0.250
0.733 0.000 0.733
0.733 0.733 0.000
0.750 0.250 0.500
0.750 0.500 0.250
```

Summary:
ρ = 4.52 g/cm³
DOS at the Fermi energy = 0.6259 states/eV per atom
Raw total energy = -7.255 eV/atom
Size of the total moment = 2.0 μB per formula unit

(4)
Cs2GaI6F | PBE-GGA | relaxed

Cell and atoms, written as POSCAR:
```
Cs2GaI6F
1.0
-3.846 3.846 6.855
3.846 -3.846 6.855
3.846 3.846 -6.855
Cs Ga I F
2 1 6 1
Direct
0.250 0.750 0.500
0.750 0.250 0.500
0.000 0.000 0.000
0.215 0.215 0.000
0.255 0.255 0.510
0.255 0.745 0.000
0.745 0.255 0.000
0.745 0.745 0.490
0.785 0.785 0.000
0.500 0.500 0.000
```

Summary:
ρ = 4.57 g/cm³
DOS at the Fermi energy = 0.5805 states/eV per atom
Raw total energy = -2.402 eV/atom
Size of the total moment = 0.0 μB per formula unit

(5)
Mg3H5Ir | PBE-GGA | relaxed

Cell and atoms, written as POSCAR:
```
Mg3H5Ir
1.0
3.047 0.000 0.000
0.000 4.591 0.000
-1.523 -2.187 6.560
Mg H Ir
3 5 1
Direct
0.000 0.000 0.000
0.166 0.717 0.325
0.347 0.416 0.692
0.397 0.912 0.794
0.576 0.366 0.149
0.765 0.050 0.525
0.767 0.581 0.531
0.948 0.484 0.894
0.674 0.224 0.345
```

Summary:
ρ = 4.89 g/cm³
Raw total energy = -3.683 eV/atom
Size of the total moment = 0.0 μB per formula unit
Offset from the most stable computed form = 0.017 eV per atom

(6)
K2FeTe | PBE-GGA | relaxed

Cell and atoms, written as POSCAR:
```
K2FeTe
1.0
3.903 -2.252 0.000
3.903 2.252 0.000
-2.500 0.000 9.335
K Fe Te
2 1 1
Direct
0.000 0.000 0.000
0.175 0.175 0.550
0.754 0.754 0.275
0.421 0.421 0.275
```

Summary:
ρ = 2.65 g/cm³
DOS at the Fermi energy = 1.2188 states/eV per atom
Raw total energy = -3.505 eV/atom
Size of the total moment = 2.9 μB per formula unit

(7)
Tb2SmAl | PBE-GGA | relaxed

Cell and atoms, written as POSCAR:
```
Tb2SmAl
1.0
4.808 0.000 0.000
0.000 4.808 0.000
0.000 0.000 4.792
Tb Sm Al
2 1 1
Direct
0.000 0.500 0.000
0.500 0.000 0.000
0.000 0.000 0.500
0.500 0.500 0.500
```

Summary:
ρ = 7.42 g/cm³
DOS at the Fermi energy = 1.5984 states/eV per atom
Raw total energy = -4.608 eV/atom
Size of the total moment = 0.0 μB per formula unit
Offset from the most stable computed form = 0.015 eV per atom

(8)
PuGaRh | PBE-GGA | relaxed

Cell and atoms, written as POSCAR:
```
PuGaRh
1.0
7.055 0.000 0.000
-3.527 6.110 0.000
0.000 0.000 4.005
Pu Ga Rh
3 3 3
Direct
0.000 0.417 0.000
0.417 0.000 0.000
0.583 0.583 0.000
0.000 0.757 0.500
0.243 0.243 0.500
0.757 0.000 0.500
0.000 0.000 0.000
0.333 0.667 0.500
0.667 0.333 0.500
```

Summary:
ρ = 12.02 g/cm³
DOS at the Fermi energy = 2.8796 states/eV per atom
Raw total energy = -8.871 eV/atom
Size of the total moment = 5.1 μB per formula unit